Entry 1:
DFT (PBE) results for a geometry-optimized Re2NiTe4 structure.

Values from the calculation:
Space-group type: I4/mmm
DFT total energy: -5.3150 eV/atom

The structure in CIF format:
```
data_Re2NiTe4
_chemical_formula_sum 'Re2 Ni1 Te4'
_cell_length_a 7.329
_cell_length_b 7.329
_cell_length_c 7.329
_cell_angle_alpha 137.44
_cell_angle_beta 137.44
_cell_angle_gamma 61.77
_space_group_name_H-M_alt 'P 1'
_space_group_IT_number 1
loop_
_space_group_symop_operation_xyz
'x,y,z'
loop_
_atom_site_label
_atom_site_type_symbol
_atom_site_fract_x
_atom_site_fract_y
_atom_site_fract_z
Re1 Re 0.094 0.094 0.000
Re2 Re 0.906 0.906 0.000
Ni1 Ni 0.500 0.500 0.000
Te1 Te 0.000 0.500 0.500
Te2 Te 0.298 0.298 0.000
Te3 Te 0.500 0.000 0.500
Te4 Te 0.702 0.702 0.000
```

Entry 2:
DFT (PBE) results for a geometry-optimized Tb2Er5Cu4 structure.

Values from the calculation:
Space-group type: C2/m
E_form: -0.0364 eV per atom
DFT total energy: -4.4418 eV/atom

The structure in CIF format:
```
data_Tb2Er5Cu4
_chemical_formula_sum 'Tb2 Er5 Cu4'
_cell_length_a 9.590
_cell_length_b 9.590
_cell_length_c 7.964
_cell_angle_alpha 95.94
_cell_angle_beta 95.94
_cell_angle_gamma 21.84
_space_group_name_H-M_alt 'P 1'
_space_group_IT_number 1
loop_
_space_group_symop_operation_xyz
'x,y,z'
loop_
_atom_site_label
_atom_site_type_symbol
_atom_site_fract_x
_atom_site_fract_y
_atom_site_fract_z
Tb1 Tb 0.090 0.090 0.404
Tb2 Tb 0.910 0.910 0.596
Er1 Er 0.168 0.168 0.005
Er2 Er 0.254 0.254 0.667
Er3 Er 0.500 0.500 0.000
Er4 Er 0.746 0.746 0.333
Er5 Er 0.832 0.832 0.995
Cu1 Cu 0.053 0.053 0.756
Cu2 Cu 0.362 0.362 0.306
Cu3 Cu 0.638 0.638 0.694
Cu4 Cu 0.947 0.947 0.244
```

Entry 3:
DFT (PBE) results for a geometry-optimized Tb6NdIn3 structure.

Values from the calculation:
Space-group type: Cmc2_1
E_form: -0.1458 eV per atom
DFT total energy: -4.2223 eV/atom

The structure in CIF format:
```
data_Tb6NdIn3
_chemical_formula_sum 'Tb12 Nd2 In6'
_cell_length_a 9.278
_cell_length_b 9.278
_cell_length_c 7.773
_cell_angle_alpha 90.00
_cell_angle_beta 90.00
_cell_angle_gamma 110.79
_space_group_name_H-M_alt 'P 1'
_space_group_IT_number 1
loop_
_space_group_symop_operation_xyz
'x,y,z'
loop_
_atom_site_label
_atom_site_type_symbol
_atom_site_fract_x
_atom_site_fract_y
_atom_site_fract_z
Tb1 Tb 0.049 0.951 0.500
Tb2 Tb 0.075 0.450 0.004
Tb3 Tb 0.234 0.300 0.691
Tb4 Tb 0.300 0.234 0.191
Tb5 Tb 0.302 0.698 0.674
Tb6 Tb 0.450 0.075 0.504
Tb7 Tb 0.550 0.925 0.004
Tb8 Tb 0.698 0.302 0.174
Tb9 Tb 0.700 0.766 0.691
Tb10 Tb 0.766 0.700 0.191
Tb11 Tb 0.925 0.550 0.504
Tb12 Tb 0.951 0.049 0.000
Nd1 Nd 0.219 0.781 0.216
Nd2 Nd 0.781 0.219 0.716
In1 In 0.013 0.278 0.366
In2 In 0.278 0.013 0.866
In3 In 0.447 0.553 0.978
In4 In 0.553 0.447 0.478
In5 In 0.722 0.987 0.366
In6 In 0.987 0.722 0.866
```

Entry 4:
DFT (PBE) results for a geometry-optimized HfAlPb3 structure.

Values from the calculation:
Space-group type: Pm-3m
E_form: 0.5733 eV per atom
DFT total energy: -4.3909 eV/atom
Relative energy among the computed polymorphs: 0.00 eV/f.u.

The structure in CIF format:
```
data_HfAlPb3
_chemical_formula_sum 'Hf1 Al1 Pb3'
_cell_length_a 5.626
_cell_length_b 5.626
_cell_length_c 5.626
_cell_angle_alpha 90.00
_cell_angle_beta 90.00
_cell_angle_gamma 90.00
_space_group_name_H-M_alt 'P 1'
_space_group_IT_number 1
loop_
_space_group_symop_operation_xyz
'x,y,z'
loop_
_atom_site_label
_atom_site_type_symbol
_atom_site_fract_x
_atom_site_fract_y
_atom_site_fract_z
Hf1 Hf 0.000 0.000 0.000
Al1 Al 0.500 0.500 0.500
Pb1 Pb 0.000 0.000 0.500
Pb2 Pb 0.000 0.500 0.000
Pb3 Pb 0.500 0.000 0.000
```

Entry 5:
DFT (PBE) results for a geometry-optimized Tb2Ho2Ga4Pd structure.

Values from the calculation:
Space-group type: I4/mmm
E_form: -0.4409 eV per atom
DFT total energy: -4.4094 eV/atom

The structure in CIF format:
```
data_Tb2Ho2Ga4Pd
_chemical_formula_sum 'Tb2 Ho2 Ga4 Pd1'
_cell_length_a 6.555
_cell_length_b 6.555
_cell_length_c 6.555
_cell_angle_alpha 115.44
_cell_angle_beta 115.44
_cell_angle_gamma 98.10
_space_group_name_H-M_alt 'P 1'
_space_group_IT_number 1
loop_
_space_group_symop_operation_xyz
'x,y,z'
loop_
_atom_site_label
_atom_site_type_symbol
_atom_site_fract_x
_atom_site_fract_y
_atom_site_fract_z
Tb1 Tb 0.250 0.750 0.500
Tb2 Tb 0.750 0.250 0.500
Ho1 Ho 0.191 0.191 0.000
Ho2 Ho 0.809 0.809 0.000
Ga1 Ga 0.250 0.250 0.499
Ga2 Ga 0.250 0.750 0.000
Ga3 Ga 0.750 0.250 0.000
Ga4 Ga 0.750 0.750 0.501
Pd1 Pd 0.500 0.500 0.000
```

Entry 6:
DFT (PBE) results for a geometry-optimized Zr3PO structure.

Values from the calculation:
Space-group type: Pm-3m
DFT total energy: -8.2964 eV/atom
Relative energy among the computed polymorphs: 1.22 eV/f.u.

The structure in CIF format:
```
data_Zr3PO
_chemical_formula_sum 'Zr3 P1 O1'
_cell_length_a 4.382
_cell_length_b 4.382
_cell_length_c 4.382
_cell_angle_alpha 90.00
_cell_angle_beta 90.00
_cell_angle_gamma 90.00
_space_group_name_H-M_alt 'P 1'
_space_group_IT_number 1
loop_
_space_group_symop_operation_xyz
'x,y,z'
loop_
_atom_site_label
_atom_site_type_symbol
_atom_site_fract_x
_atom_site_fract_y
_atom_site_fract_z
Zr1 Zr 0.000 0.000 0.500
Zr2 Zr 0.000 0.500 0.000
Zr3 Zr 0.500 0.000 0.000
P1 P 0.500 0.500 0.500
O1 O 0.000 0.000 0.000
```

Entry 7:
DFT (PBE) results for a geometry-optimized CdAsPtBr2 structure.

Values from the calculation:
Space-group type: P4/mmm
DFT total energy: -2.1862 eV/atom
Relative energy among the computed polymorphs: 3.23 eV/f.u.

The structure in CIF format:
```
data_CdAsPtBr2
_chemical_formula_sum 'Cd1 As1 Pt1 Br2'
_cell_length_a 5.233
_cell_length_b 5.233
_cell_length_c 5.460
_cell_angle_alpha 90.00
_cell_angle_beta 90.00
_cell_angle_gamma 90.00
_space_group_name_H-M_alt 'P 1'
_space_group_IT_number 1
loop_
_space_group_symop_operation_xyz
'x,y,z'
loop_
_atom_site_label
_atom_site_type_symbol
_atom_site_fract_x
_atom_site_fract_y
_atom_site_fract_z
Cd1 Cd 0.000 0.000 0.000
As1 As 0.500 0.500 0.500
Pt1 Pt 0.000 0.000 0.500
Br1 Br 0.000 0.500 0.000
Br2 Br 0.500 0.000 0.000
```

Entry 8:
DFT (PBE) results for a geometry-optimized Ca5Ho3S8 structure.

Values from the calculation:
Space-group type: R-3m
DFT total energy: -5.6221 eV/atom

The structure in CIF format:
```
data_Ca5Ho3S8
_chemical_formula_sum 'Ca5 Ho3 S8'
_cell_length_a 7.952
_cell_length_b 7.952
_cell_length_c 7.952
_cell_angle_alpha 59.67
_cell_angle_beta 59.67
_cell_angle_gamma 59.67
_space_group_name_H-M_alt 'P 1'
_space_group_IT_number 1
loop_
_space_group_symop_operation_xyz
'x,y,z'
loop_
_atom_site_label
_atom_site_type_symbol
_atom_site_fract_x
_atom_site_fract_y
_atom_site_fract_z
Ca1 Ca 0.000 0.000 0.000
Ca2 Ca 0.000 0.500 0.500
Ca3 Ca 0.500 0.000 0.500
Ca4 Ca 0.500 0.500 0.000
Ca5 Ca 0.500 0.500 0.500
Ho1 Ho 0.000 0.000 0.500
Ho2 Ho 0.000 0.500 0.000
Ho3 Ho 0.500 0.000 0.000
S1 S 0.244 0.750 0.750
S2 S 0.248 0.248 0.248
S3 S 0.250 0.250 0.756
S4 S 0.250 0.756 0.250
S5 S 0.750 0.244 0.750
S6 S 0.750 0.750 0.244
S7 S 0.752 0.752 0.752
S8 S 0.756 0.250 0.250
```